Entry from Alexandria via LeMat-Bulk: NpFeIrO6 after structural relaxation (PBE+U).

a = 5.1599 Å, b = 5.1599 Å, c = 8.8271 Å
α = 90.00°, β = 90.00°, γ = 120.00°
Space group P-31c (No. 163)
Asymmetric unit:
Np 0.3333 0.6667 0.2500 (multiplicity 2)
Fe 0.3333 0.6667 0.7500 (multiplicity 2)
Ir 0.0000 0.0000 0.0000 (multiplicity 2)
O 0.0148 0.3395 0.6264 (multiplicity 12)

- final energy (eV per atom) = -7.898
- total moment (μB/f.u.) = 2.0
- D(E_F) (states/eV/f.u.) = 0.7